DFT (PBE) results for an optimized crystal structure of Ba12TlAg6.

Output
Fermi-level density of states in states/eV/cell: 22.14
Total energy in eV/atom: -2.43
Formation energy from the elements in eV per formula unit: -3.69
Mass density in g cm⁻³: 5.02
Symmetry: Im-3 (204)

Lattice parameters (Å, degrees): 10.241 10.241 10.241 109.47 109.47 109.47
Element x y z (fractional)
Ba (0.818, 0.704, 0.522)
Ba (0.296, 0.114, 0.818)
Ba (0.296, 0.478, 0.182)
Ba (0.182, 0.704, 0.886)
Ba (0.522, 0.818, 0.704)
Ba (0.704, 0.886, 0.182)
Ba (0.182, 0.296, 0.478)
Ba (0.818, 0.296, 0.114)
Ba (0.114, 0.818, 0.296)
Ba (0.704, 0.522, 0.818)
Ba (0.886, 0.182, 0.704)
Ba (0.478, 0.182, 0.296)
Ag (0.379, 0.500, 0.879)
Ag (0.621, 0.500, 0.121)
Ag (0.121, 0.621, 0.500)
Ag (0.500, 0.121, 0.621)
Ag (0.879, 0.379, 0.500)
Ag (0.500, 0.879, 0.379)
Tl (0.000, 0.000, 0.000)